Al2TcCl | SCAN | PBEsol geometry Values from VASP.

Quantum ESPRESSO input file:
```
&SYSTEM
  ibrav = 0, nat = 4, ntyp = 3
/
ATOMIC_SPECIES
Tc 98.00 Tc.upf
Cl 35.45 Cl.upf
Al 26.98 Al.upf
ATOMIC_POSITIONS crystal
Tc 0.0000 0.5000 0.0000
Cl 0.5000 0.0000 0.0000
Al 0.2794 0.2632 0.5589
Al 0.7206 0.7368 0.4411
CELL_PARAMETERS angstrom
2.8295 0.0000 0.0000
0.0000 4.5093 0.0308
-1.4147 -0.4663 4.8293
```

**Calculated volume**: 15.4 Å³ per atom
**Mass density**: 5.05 g/cm³
**Energy relative to the elements, uncorrected**: 0.25 eV per atom

BaMnRh2 | SCAN | PBEsol geometry Values from VASP.

Quantum ESPRESSO input file:
```
&SYSTEM
  ibrav = 0, nat = 4, ntyp = 3
/
ATOMIC_SPECIES
Rh 102.91 Rh.upf
Ba 137.33 Ba.upf
Mn 54.94 Mn.upf
ATOMIC_POSITIONS crystal
Rh 0.7189 0.2189 0.4377
Rh 0.9962 0.9962 0.9923
Ba 0.4976 0.4976 0.9952
Mn 0.2874 0.7874 0.5748
CELL_PARAMETERS angstrom
-1.2137 -1.3657 2.4625
0.3447 -4.4280 -2.2859
5.0343 2.2653 1.8286
```

**Calculated volume**: 19.2 Å³ per atom
**Mass density**: 8.59 g/cm³
**DFT total energy**: -31.072 eV per atom

Li3Pt | SCAN | PBEsol geometry Values from VASP.

Quantum ESPRESSO input file:
```
&SYSTEM
  ibrav = 0, nat = 4, ntyp = 2
/
ATOMIC_SPECIES
Li 6.94 Li.upf
Pt 195.08 Pt.upf
ATOMIC_POSITIONS crystal
Li 0.2551 0.2551 0.5102
Li 0.5000 0.0000 0.0000
Li 0.7449 0.7449 0.4898
Pt 0.0000 0.5000 0.0000
CELL_PARAMETERS angstrom
2.9360 0.0000 0.0000
0.0000 4.3152 0.0000
-1.4680 -2.1576 4.2703
```

**Calculated volume**: 13.5 Å³ per atom
**Mass density**: 6.63 g/cm³
**DFT total energy**: -19.806 eV per atom

CsBi2Sb2 | SCAN | PBEsol geometry Values from VASP.

Quantum ESPRESSO input file:
```
&SYSTEM
  ibrav = 0, nat = 10, ntyp = 3
/
ATOMIC_SPECIES
Bi 208.98 Bi.upf
Cs 132.91 Cs.upf
Sb 121.76 Sb.upf
ATOMIC_POSITIONS crystal
Bi 0.0000 0.1194 0.3806
Bi 0.0000 0.3806 0.8806
Bi 0.0000 0.6194 0.1194
Bi 0.0000 0.8806 0.6194
Cs 0.0000 0.0000 0.0000
Cs 0.0000 0.5000 0.5000
Sb 0.5000 0.6582 0.8418
Sb 0.5000 0.3418 0.1582
Sb 0.5000 0.8418 0.3418
Sb 0.5000 0.1582 0.6582
CELL_PARAMETERS angstrom
3.8664 0.0000 0.0000
0.0000 9.3582 0.0000
0.0000 0.0000 9.3582
```

**Calculated volume**: 33.9 Å³ per atom
**Mass density**: 7.79 g/cm³
**Energy relative to the elements, uncorrected**: 0.00 eV per atom

IrOsBr2 | SCAN | PBEsol geometry Values from VASP.

Quantum ESPRESSO input file:
```
&SYSTEM
  ibrav = 0, nat = 4, ntyp = 3
/
ATOMIC_SPECIES
Ir 192.22 Ir.upf
Br 79.90 Br.upf
Os 190.23 Os.upf
ATOMIC_POSITIONS crystal
Ir 0.5000 0.5000 0.5000
Br 0.0000 0.0000 0.0000
Br 0.7500 0.7500 0.7500
Os 0.2500 0.2500 0.2500
CELL_PARAMETERS angstrom
-1.2628 -3.4995 -2.6693
2.4314 -3.8800 0.0092
-1.7496 -3.7938 1.8741
```

**Calculated volume**: 17.0 Å³ per atom
**Mass density**: 13.26 g/cm³
**Energy relative to the elements, uncorrected**: 1.65 eV per atom

BaTa2Au | SCAN | PBEsol geometry Values from VASP.

Quantum ESPRESSO input file:
```
&SYSTEM
  ibrav = 0, nat = 4, ntyp = 3
/
ATOMIC_SPECIES
Ba 137.33 Ba.upf
Ta 180.95 Ta.upf
Au 196.97 Au.upf
ATOMIC_POSITIONS crystal
Ba 0.5000 0.5000 0.7311
Ta 0.5000 0.5000 0.2622
Ta 0.0000 0.0000 0.0505
Au 0.0000 0.0000 0.4561
CELL_PARAMETERS angstrom
3.0007 0.0000 0.0000
0.0000 3.0007 0.0000
0.0000 0.0000 9.7015
```

**Calculated volume**: 21.8 Å³ per atom
**Mass density**: 13.23 g/cm³
**DFT total energy**: -60.091 eV per atom